Tb3SmTm6 | GGA-PBE | optimized geometry

Cell and atoms, written as POSCAR:
```
Tb3SmTm6
1.0
5.468 -9.389 0.000
5.468 9.389 0.000
0.000 0.000 6.139
Tb Sm Tm
6 2 12
Direct
0.108 0.892 0.500 Tb
0.218 0.435 0.889 Tb
0.435 0.218 0.389 Tb
0.565 0.782 0.889 Tb
0.782 0.565 0.389 Tb
0.892 0.108 0.000 Tb
0.292 0.708 0.587 Sm
0.708 0.292 0.087 Sm
0.042 0.464 0.295 Tm
0.117 0.212 0.460 Tm
0.212 0.117 0.960 Tm
0.214 0.786 0.071 Tm
0.453 0.547 0.348 Tm
0.464 0.042 0.795 Tm
0.536 0.958 0.295 Tm
0.547 0.453 0.848 Tm
0.786 0.214 0.571 Tm
0.788 0.883 0.460 Tm
0.883 0.788 0.960 Tm
0.958 0.536 0.795 Tm
```

## Properties
Distance to the lowest polymorph of the same formula: 0 meV/atom
Calculated formation energy: 0.148 eV/atom
Fermi-level density of states: 28.229 states/eV per cell
Magnetization: 0.00 μB/f.u.
Symmetry: Cmc2_1
ρ: 8.6 g/cm³